(1)
Entry from the Alexandria database: a relaxed structure of KCa3Rh (PBE-GGA).

**V**: 315.6 Å³/f.u.
**Calculated total energy**: -13.52 eV per cell
**ΔE to the lowest computed polymorph**: 377 meV/atom
**DOS at the Fermi energy**: 0.63 states/eV per atom
**DFT formation energy**: 0.186 eV/atom

abc: 4.0156 10.9922 10.9922
angles: 40.58 90.00 90.00
Fractional positions:
K  0.0000  0.0000  0.0000
Ca  0.0000  0.4340  0.9223
Ca  0.0000  0.9223  0.4340
Ca  0.5000  0.8140  0.8140
Rh  0.5000  0.6888  0.6888

---

(2)
Entry from the Alexandria database: a relaxed structure of KCa3Rh (PBE-GGA).

**V**: 187.4 Å³/f.u.
**Calculated total energy**: -13.64 eV per cell
**ΔE to the lowest computed polymorph**: 353 meV/atom
**DOS at the Fermi energy**: 0.72 states/eV per atom
**DFT formation energy**: 0.163 eV/atom

abc: 5.7636 5.7636 5.7636
angles: 82.92 82.92 82.92
Fractional positions:
K  0.0000  0.0000  0.0000
Ca  0.0972  0.5684  0.5685
Ca  0.5685  0.0972  0.5685
Ca  0.5685  0.5685  0.0972
Rh  0.2624  0.2624  0.2624

---

(3)
Entry from the Alexandria database: a relaxed structure of K2CaRh (PBE-GGA).

**V**: 171.7 Å³/f.u.
**Calculated total energy**: -10.79 eV per cell
**DOS at the Fermi energy**: 0.38 states/eV per atom
**DFT formation energy**: 0.190 eV/atom

abc: 4.7058 4.7058 9.4118
angles: 104.48 104.48 59.36
Fractional positions:
K  0.0000  0.0000  0.0000
K  0.1874  0.1874  0.5679
Ca  0.7626  0.7626  0.2836
Rh  0.4311  0.4311  0.2836

---

(4)
Entry from the Alexandria database: a relaxed structure of KCa3Rh (PBE-GGA).

**V**: 195.1 Å³/f.u.
**Calculated total energy**: -30.70 eV per cell
**ΔE to the lowest computed polymorph**: 11 meV/atom
**DOS at the Fermi energy**: 0.78 states/eV per atom
**DFT formation energy**: -0.179 eV/atom

abc: 6.0918 6.0918 11.7628
angles: 95.49 95.49 64.13
Fractional positions:
K  0.1911  0.1911  0.0746
K  0.8089  0.8089  0.9254
Ca  0.0952  0.0952  0.6866
Ca  0.2417  0.2417  0.4289
Ca  0.4525  0.4525  0.6982
Ca  0.5475  0.5475  0.3018
Ca  0.7583  0.7583  0.5711
Ca  0.9048  0.9048  0.3134
Rh  0.2607  0.7393  0.5000
Rh  0.7393  0.2607  0.5000

---

(5)
Entry from the Alexandria database: a relaxed structure of K2CaRh (PBE-GGA).

**V**: 135.2 Å³/f.u.
**Calculated total energy**: -9.10 eV per cell
**DOS at the Fermi energy**: 0.76 states/eV per atom
**DFT formation energy**: 0.612 eV/atom

abc: 6.4017 6.4017 3.9921
angles: 90.00 90.00 124.28
Fractional positions:
K  0.0000  0.5000  0.0000
K  0.5000  0.0000  0.0000
Ca  0.0000  0.0000  0.5000
Rh  0.5000  0.5000  0.5000

---

(6)
Entry from the Alexandria database: a relaxed structure of KCa2Rh (PBE-GGA).

**V**: 145.9 Å³/f.u.
**Calculated total energy**: -12.35 eV per cell
**ΔE to the lowest computed polymorph**: 181 meV/atom
**DOS at the Fermi energy**: 0.52 states/eV per atom
**DFT formation energy**: 0.025 eV/atom

abc: 4.0039 4.0039 9.1002
angles: 90.00 90.00 90.00
Fractional positions:
K  0.0000  0.0000  0.0000
Ca  0.0000  0.0000  0.3719
Ca  0.5000  0.5000  0.6241
Rh  0.5000  0.5000  0.3256

---

What did the third record say?
Entry from the Alexandria database: a relaxed structure of K2CaRh (PBE-GGA).

**V**: 171.7 Å³/f.u.
**Calculated total energy**: -10.79 eV per cell
**DOS at the Fermi energy**: 0.38 states/eV per atom
**DFT formation energy**: 0.190 eV/atom

abc: 4.7058 4.7058 9.4118
angles: 104.48 104.48 59.36
Fractional positions:
K  0.0000  0.0000  0.0000
K  0.1874  0.1874  0.5679
Ca  0.7626  0.7626  0.2836
Rh  0.4311  0.4311  0.2836

---

Which value of DFT formation energy does entry 2 give? 0.163 eV/atom

---

Which value of V does entry 3 give? 171.7 Å³/f.u.

---

Look up the calculated total energy of the first one. -13.52 eV per cell